# GaNi2Pt2 (GGA-PBE, relaxed)
data_GaNi2Pt2
_space_group_name_H-M_alt 'P 1'
_space_group_IT_number 1
_space_group_name_Hall 'P 1'
_cell_length_a 6.926
_cell_length_b 6.926
_cell_length_c 6.926
_cell_angle_alpha 143.88
_cell_angle_beta 133.61
_cell_angle_gamma 60.16
loop_
_atom_site_label
_atom_site_fract_x
_atom_site_fract_y
_atom_site_fract_z
Ga1 0.355 0.105 0.250
Ga2 0.645 0.895 0.750
Ni1 0.135 0.885 0.250
Ni2 0.249 0.499 0.750
Ni3 0.751 0.501 0.250
Ni4 0.865 0.115 0.750
Pt1 0.177 0.680 0.497
Pt2 0.317 0.320 0.997
Pt3 0.683 0.680 0.003
Pt4 0.823 0.320 0.503
# Calculated density   13.654 g cm⁻³
# ΔE_f   -0.221 eV per atom
# Space group   Imma